La2Ga5Cu (GGA-PBE, optimized geometry); raw total energy = -4.080 eV/atom; spin magnetization = 0.000 μB per cell; ΔH_f (0 K) = -0.44 eV per atom; SG = I4mm (107)
1.0
-1.784 5.623 2.494
2.948 -4.474 3.510
4.911 -0.483 -4.084
La Ga Cu
2 5 1
direct
0.500 0.242 0.742 La
0.500 0.742 0.242 La
0.430 0.706 0.706 Ga
0.000 0.706 0.276 Ga
0.000 0.276 0.706 Ga
0.570 0.276 0.276 Ga
0.000 0.273 0.273 Ga
0.000 0.002 0.002 Cu

LaGa3Cu3 (GGA-PBE, optimized geometry); raw total energy = -4.002 eV/atom; spin magnetization = 0.000 μB per cell; ΔH_f (0 K) = -0.24 eV per atom; SG = R-3 (148)
1.0
7.832 0.000 0.000
3.916 6.783 0.000
3.916 2.261 4.886
La Ga Cu
2 6 6
direct
0.316 0.316 0.052 La
0.684 0.684 0.948 La
0.445 0.790 0.606 Ga
0.790 0.160 0.606 Ga
0.160 0.445 0.606 Ga
0.840 0.555 0.394 Ga
0.210 0.840 0.394 Ga
0.555 0.210 0.394 Ga
0.136 0.728 0.181 Cu
0.954 0.136 0.181 Cu
0.728 0.954 0.181 Cu
0.272 0.046 0.819 Cu
0.046 0.864 0.819 Cu
0.864 0.272 0.819 Cu

LaGa2Cu3 (GGA-PBE, optimized geometry); raw total energy = -4.210 eV/atom; spin magnetization = 0.000 μB per cell; ΔH_f (0 K) = -0.33 eV per atom; SG = P6_3/mmc (194)
1.0
-0.367 -0.885 -4.095
2.945 -1.919 2.310
-8.999 -10.189 3.008
La Ga Cu
2 4 6
direct
0.000 0.000 0.250 La
0.000 0.000 0.750 La
0.667 0.333 0.395 Ga
0.333 0.667 0.605 Ga
0.333 0.667 0.895 Ga
0.667 0.333 0.105 Ga
0.000 0.000 0.500 Cu
0.000 0.000 0.000 Cu
0.667 0.333 0.576 Cu
0.333 0.667 0.076 Cu
0.667 0.333 0.924 Cu
0.333 0.667 0.424 Cu

LaGa12Cu6 (GGA-PBE, optimized geometry); raw total energy = -3.584 eV/atom; spin magnetization = 0.000 μB per cell; ΔH_f (0 K) = -0.12 eV per atom; SG = R-3m (166)
1.0
7.152 -0.004 -0.006
-1.777 6.927 -0.006
-1.777 -2.289 6.538
La Ga Cu
1 12 6
direct
0.000 0.000 0.000 La
0.887 0.113 0.500 Ga
0.850 0.597 0.597 Ga
0.597 0.597 0.850 Ga
0.403 0.150 0.403 Ga
0.403 0.403 0.150 Ga
0.150 0.403 0.403 Ga
0.113 0.500 0.887 Ga
0.500 0.887 0.113 Ga
0.113 0.887 0.500 Ga
0.887 0.500 0.113 Ga
0.500 0.113 0.887 Ga
0.597 0.850 0.597 Ga
0.716 0.283 0.283 Cu
0.283 0.283 0.716 Cu
0.283 0.716 0.283 Cu
0.717 0.717 0.284 Cu
0.284 0.717 0.717 Cu
0.717 0.284 0.717 Cu

La4Ga3Cu (GGA-PBE, optimized geometry); raw total energy = -4.565 eV/atom; spin magnetization = 0.000 μB per cell; ΔH_f (0 K) = -0.45 eV per atom; SG = P4/mmm (123)
1.0
3.680 0.000 0.000
0.000 3.680 0.000
0.000 0.000 15.515
Cu Ga La
1 3 4
direct
0.500 0.500 0.000 Cu
0.500 0.500 0.243 Ga
0.500 0.500 0.500 Ga
0.500 0.500 0.757 Ga
0.000 0.000 0.880 La
0.000 0.000 0.120 La
0.000 0.000 0.372 La
0.000 0.000 0.628 La

La3Ga3Cu8 (GGA-PBE, optimized geometry); raw total energy = -4.355 eV/atom; spin magnetization = 0.000 μB per cell; ΔH_f (0 K) = -0.31 eV per atom; SG = C2/m (12)
1.0
4.140 0.000 1.092
1.327 7.282 3.364
0.011 -0.133 8.352
La Ga Cu
3 3 8
direct
0.303 0.727 0.668 La
0.697 0.273 0.332 La
0.000 0.000 0.000 La
0.000 0.500 0.500 Ga
0.676 0.664 0.984 Ga
0.324 0.336 0.016 Ga
0.110 0.162 0.619 Cu
0.890 0.838 0.381 Cu
0.873 0.420 0.834 Cu
0.127 0.580 0.166 Cu
0.508 0.690 0.293 Cu
0.492 0.310 0.707 Cu
0.352 0.018 0.277 Cu
0.648 0.982 0.723 Cu

La4GaCu (GGA-PBE, optimized geometry); raw total energy = -4.699 eV/atom; spin magnetization = 0.000 μB per cell; ΔH_f (0 K) = -0.23 eV per atom; SG = P2_1/m (11)
1.0
4.963 0.000 -2.171
0.000 7.308 0.000
-0.163 0.000 9.639
La Ga Cu
8 2 2
direct
0.608 0.250 0.447 La
0.392 0.750 0.553 La
0.672 0.250 0.879 La
0.328 0.750 0.121 La
0.893 0.020 0.219 La
0.107 0.520 0.781 La
0.893 0.480 0.219 La
0.107 0.980 0.781 La
0.312 0.250 0.086 Ga
0.688 0.750 0.914 Ga
0.197 0.250 0.554 Cu
0.803 0.750 0.446 Cu

LaGa2Cu2 (GGA-PBE, optimized geometry); raw total energy = -4.276 eV/atom; spin magnetization = 0.000 μB per cell; ΔH_f (0 K) = -0.44 eV per atom; SG = I4/mmm (139)
1.0
-2.065 3.833 -0.314
-1.309 -0.365 4.148
2.395 4.055 3.410
Cu Ga La
2 2 1
direct
0.750 0.250 0.500 Cu
0.250 0.750 0.500 Cu
0.372 0.372 0.257 Ga
0.628 0.628 0.743 Ga
0.000 0.000 0.000 La